# SbMo2O

A relaxed structure of SbMo2O (PBE+U, Alexandria).

Summary:
For the energy above the most stable polymorph in this dataset, the calculation gives 553.0 meV per atom. Its total magnetization is 7.0 μB per formula unit.

a = 6.6898 Å, b = 6.6898 Å, c = 6.6898 Å
α = 90.00°, β = 90.00°, γ = 90.00°
Closest atoms and distances in Å follow each position.
Space group Fm-3m (No. 225)
Symmetry-distinct sites (fractional):
1 Sb 0.0000 0.0000 0.0000 x4  8 Mo 2.90
2 Mo 0.2500 0.2500 0.2500 x8  4 O 2.90, 4 Sb 2.90
3 O 0.0000 0.0000 0.5000 x4  8 Mo 2.90